This record from Alexandria describes Li2CaMo after structural relaxation. The functional is PBE.

Calculated values
Formation enthalpy at 0 K in eV/f.u.: 2.5
E above lowest polymorph in meV per atom: 132
Magnetic moment in μB per formula unit: 0.0
DFT total energy in eV/atom: -3.548
Symmetry: Pmm2, No. 25

Cell: 2.6930 4.8140 5.9939 Å, 90.00 90.00 90.00°
Last column: nearest neighbours and their distance in Å.
Fractional coordinates of all 4 atoms:
Ca 0.5000 0.5000 0.7361  2 Ca 2.69, 1 Li 2.79
Li 0.0000 0.0000 0.0152  2 Li 2.69, 1 Mo 2.77
Li 0.5000 0.5000 0.2711  2 Li 2.69, 1 Ca 2.79
Mo 0.0000 0.0000 0.4776  2 Mo 2.69, 1 Li 2.77

This record from Alexandria describes Li2CaMo after structural relaxation. The functional is PBE.

Calculated values
Formation enthalpy at 0 K in eV/f.u.: 3.7
E above lowest polymorph in meV per atom: 432
Magnetic moment in μB per formula unit: 2.9
DFT total energy in eV/atom: -3.248
Symmetry: I-42d, No. 122

Cell: 4.2114 4.2114 11.0449 Å, 79.01 79.01 90.00°
Last column: nearest neighbours and their distance in Å.
Fractional coordinates of all 8 atoms:
Mo 0.0000 0.0000 0.0000  4 Ca 2.98, 4 Li 3.00
Mo 0.7500 0.2500 0.5000  4 Ca 2.98, 4 Li 3.00
Ca 0.5000 0.5000 0.0000  4 Mo 2.98, 4 Li 3.10
Ca 0.2500 0.7500 0.5000  4 Mo 2.98, 4 Li 3.10
Li 0.6608 0.1250 0.2500  2 Li 2.77, 2 Mo 3.00, 2 Ca 3.10
Li 0.0892 0.6250 0.2500  2 Li 2.77, 2 Mo 3.00, 2 Ca 3.10
Li 0.3750 0.3392 0.7500  2 Li 2.77, 2 Mo 3.00, 2 Ca 3.10
Li 0.8750 0.9108 0.7500  2 Li 2.77, 2 Mo 3.00, 2 Ca 3.10

This record from Alexandria describes Li2CaMo after structural relaxation. The functional is PBE.

Calculated values
Formation enthalpy at 0 K in eV/f.u.: 2.5
E above lowest polymorph in meV per atom: 152
Magnetic moment in μB per formula unit: 0.7
DFT total energy in eV/atom: -3.528
Symmetry: Pmmm, No. 47

Cell: 2.7561 4.7087 6.0966 Å, 90.00 90.00 90.00°
Last column: nearest neighbours and their distance in Å.
Fractional coordinates of all 4 atoms:
Ca 0.5000 0.5000 0.7500  2 Ca 2.76, 2 Mo 3.05
Li 0.0000 0.0000 0.0507  1 Li 2.43
Li 0.0000 0.0000 0.4493  1 Li 2.43
Mo 0.5000 0.5000 0.2500  2 Mo 2.76, 8 Li 2.99, 2 Ca 3.05

This record from Alexandria describes LiCaMo2 after structural relaxation. The functional is PBE.

Calculated values
Formation enthalpy at 0 K in eV/f.u.: 2.5
E above lowest polymorph in meV per atom: 238
Magnetic moment in μB per formula unit: 0.0
DFT total energy in eV/atom: -5.767
Symmetry: F-43m, No. 216

Cell: 4.6386 4.6386 4.6386 Å, 60.00 60.00 60.00°
Last column: nearest neighbours and their distance in Å.
Fractional coordinates of all 4 atoms:
Ca 0.5000 0.5000 0.5000  4 Mo 2.84, 4 Li 2.84
Li 0.7500 0.7500 0.7500  4 Ca 2.84, 4 Mo 2.84
Mo 0.0000 0.0000 0.0000  4 Li 2.84, 4 Mo 2.84
Mo 0.2500 0.2500 0.2500  4 Mo 2.84, 4 Ca 2.84

This record from Alexandria describes Li2CaMo after structural relaxation. The functional is PBE.

Calculated values
Formation enthalpy at 0 K in eV/f.u.: 2.8
E above lowest polymorph in meV per atom: 218
Magnetic moment in μB per formula unit: 0.0
DFT total energy in eV/atom: -3.463
Symmetry: Pmmm, No. 47

Cell: 2.7921 5.2810 5.5363 Å, 90.00 90.00 90.00°
Last column: nearest neighbours and their distance in Å.
Fractional coordinates of all 4 atoms:
Ca 0.0000 0.5000 0.5000  2 Ca 2.79, 4 Mo 2.99, 4 Li 3.10
Li 0.0000 0.0000 0.0000  6 Li 2.79-2.99, 4 Mo 3.10
Li 0.5000 0.5000 0.0000  6 Li 2.79-2.99, 4 Ca 3.10
Mo 0.5000 0.0000 0.5000  2 Mo 2.79, 4 Ca 2.99, 4 Li 3.10

This record from Alexandria describes Li2CaMo after structural relaxation. The functional is PBE.

Calculated values
Formation enthalpy at 0 K in eV/f.u.: 2.8
E above lowest polymorph in meV per atom: 225
Magnetic moment in μB per formula unit: 0.7
DFT total energy in eV/atom: -3.455
Symmetry: P4/mmm, No. 123

Cell: 5.0696 5.0696 2.8761 Å, 90.00 90.00 90.00°
Last column: nearest neighbours and their distance in Å.
Fractional coordinates of all 4 atoms:
Ca 0.0000 0.5000 0.5000  2 Ca 2.88, 8 Li 2.91
Li 0.0000 0.0000 0.0000  2 Li 2.88, 4 Mo 2.91, 4 Ca 2.91
Li 0.5000 0.5000 0.0000  2 Li 2.88, 4 Mo 2.91, 4 Ca 2.91
Mo 0.5000 0.0000 0.5000  2 Mo 2.88, 8 Li 2.91

This record from Alexandria describes LiCaMo2 after structural relaxation. The functional is PBE.

Calculated values
Formation enthalpy at 0 K in eV/f.u.: 2.8
E above lowest polymorph in meV per atom: 302
Magnetic moment in μB per formula unit: 0.0
DFT total energy in eV/atom: -5.703
Symmetry: Pmmm, No. 47

Cell: 2.6884 5.1642 5.3072 Å, 90.00 90.00 90.00°
Last column: nearest neighbours and their distance in Å.
Fractional coordinates of all 4 atoms:
Ca 0.5000 0.5000 0.2500  2 Li 2.65, 2 Ca 2.69
Li 0.5000 0.5000 0.7500  2 Ca 2.65, 2 Li 2.69
Mo 0.0000 0.0000 0.0063  4 Mo 2.59-2.72
Mo 0.0000 0.0000 0.4937  4 Mo 2.59-2.72

This record from Alexandria describes Li2CaMo after structural relaxation. The functional is PBE.

Calculated values
Formation enthalpy at 0 K in eV/f.u.: 1.9
E above lowest polymorph in meV per atom: 0
Magnetic moment in μB per formula unit: 0.0
DFT total energy in eV/atom: -3.680
Symmetry: P4mm, No. 99

Cell: 2.9133 2.9133 9.4383 Å, 90.00 90.00 90.00°
Last column: nearest neighbours and their distance in Å.
Fractional coordinates of all 4 atoms:
Ca 0.5000 0.5000 0.7271  4 Ca 2.91, 4 Mo 3.14
Li 0.0000 0.0000 0.0317  8 Li 2.91-3.02
Li 0.5000 0.5000 0.2651  4 Mo 2.86, 8 Li 2.91-3.02
Mo 0.0000 0.0000 0.4760  4 Li 2.86, 4 Mo 2.91, 4 Ca 3.14